1:
Entry from Alexandria: a geometry-optimized FeSnTeN2 structure (GGA-PBE).

It has space group P4/mmm (No. 123), with a = 3.9368 Å, b = 3.9368 Å, c = 5.2573 Å, α = 90.00°, β = 90.00° and γ = 90.00°. The distinct sites, in fractional coordinates, are Fe at (0.0000, 0.0000, 0.0000), Sn at (0.5000, 0.5000, 0.5000), Te at (0.0000, 0.0000, 0.5000) and N at (0.0000, 0.5000, 0.0000).

Its calculated density is 6.73 g/cm³. For the total magnetization, the calculation gives 0.2 μB per cell. For the volume, the calculation gives 81 Å³ per cell.



2:
Entry from Alexandria: a geometry-optimized FeSnTeN2 structure (GGA-PBE).

It has space group P4/mmm (No. 123), with a = 4.0704 Å, b = 4.0704 Å, c = 6.2680 Å, α = 90.00°, β = 90.00° and γ = 90.00°. The distinct sites, in fractional coordinates, are Fe at (0.0000, 0.0000, 0.0000), Sn at (0.5000, 0.5000, 0.5000), Te at (0.5000, 0.5000, 0.0000) and N at (0.0000, 0.5000, 0.5000).

Its calculated density is 5.28 g/cm³. For the total magnetization, the calculation gives 5.8 μB per cell. For the volume, the calculation gives 104 Å³ per cell.



Energy above the most stable structure, in kJ/mol of atoms: 1 0.0; 2 40.9